# 1
Computed, not measured: Zr2CoTe after structural relaxation at the GGA-PBEsol level of DFT.

Summary:
Final energy ... -7.869 eV/atom
Energy relative to the elements, uncorrected ... -0.5080 eV/atom
Magnetic moment ... 0.00 μB per formula unit
Volume ... 75.7 Å³ per cell

Cell: 3.830 3.797 5.547 Å, 90.00 110.19 90.00°
Element x y z (fractional)
Co: 0.712 0.000 0.424
Te: 0.550 0.500 0.101
Zr: 0.955 0.000 0.910
Zr: 0.266 0.500 0.532


# 2
Computed, not measured: ZrCoTe after structural relaxation at the GGA-PBEsol level of DFT.

Summary:
Final energy ... -6.970 eV/atom
Energy relative to the elements, uncorrected ... -0.1853 eV/atom
Magnetic moment ... 0.00 μB per formula unit
Volume ... 54.1 Å³ per cell

Cell: 3.297 3.297 5.496 Å, 107.45 107.45 90.00°
Element x y z (fractional)
Co: 0.992 0.992 0.983
Te: 0.651 0.651 0.302
Zr: 0.358 0.358 0.715


# 3
Computed, not measured: ZrCo3Te after structural relaxation at the GGA-PBEsol level of DFT.

Summary:
Final energy ... -5.866 eV/atom
Energy relative to the elements, uncorrected ... 1.2997 eV/atom
Magnetic moment ... 1.57 μB per formula unit
Volume ... 90.6 Å³ per cell

Cell: 4.492 4.492 4.492 Å, 90.00 90.00 90.00°
Each line ends with the local moment (μB).
Element x y z (fractional)
Te: 0.500 0.500 0.500  0.02
Co: 0.000 0.500 0.000  0.58
Co: 0.000 0.000 0.500  0.58
Co: 0.500 0.000 0.000  0.58
Zr: 0.000 0.000 0.000  -0.17


# 4
Computed, not measured: Zr2CoTe after structural relaxation at the GGA-PBEsol level of DFT.

Summary:
Final energy ... -7.640 eV/atom
Energy relative to the elements, uncorrected ... -0.2796 eV/atom
Magnetic moment ... 1.16 μB per formula unit
Volume ... 73.4 Å³ per cell

Cell: 4.274 4.274 5.027 Å, 115.16 115.16 90.00°
Each line ends with the local moment (μB).
Element x y z (fractional)
Co: 0.500 0.500 0.000  1.01
Te: 0.000 0.000 0.000  0.01
Zr: 0.750 0.250 0.500  0.06
Zr: 0.250 0.750 0.500  0.06


# 5
Computed, not measured: Zr2CoTe after structural relaxation at the GGA-PBEsol level of DFT.

Summary:
Final energy ... -7.636 eV/atom
Energy relative to the elements, uncorrected ... -0.2753 eV/atom
Magnetic moment ... 0.00 μB per formula unit
Volume ... 76.0 Å³ per cell

Cell: 3.217 3.217 7.502 Å, 90.00 90.00 101.71°
Element x y z (fractional)
Co: 0.500 0.500 0.500
Te: 0.500 0.500 0.000
Zr: 0.000 0.000 0.287
Zr: 0.000 0.000 0.713


# 6
Computed, not measured: Zr6CoTe2 after structural relaxation at the GGA-PBEsol level of DFT.

Summary:
Final energy ... -8.339 eV/atom
Energy relative to the elements, uncorrected ... -0.6360 eV/atom
Magnetic moment ... 0.00 μB per formula unit
Volume ... 183.5 Å³ per cell

Cell: 3.582 7.690 7.690 Å, 120.00 90.00 90.00°
Element x y z (fractional)
Te: 0.500 0.667 0.333
Te: 0.500 0.333 0.667
Co: 0.000 0.000 0.000
Zr: 0.500 0.761 0.761
Zr: 0.000 0.000 0.595
Zr: 0.500 0.239 0.000
Zr: 0.500 0.000 0.239
Zr: 0.000 0.595 0.000
Zr: 0.000 0.405 0.405


# 7
Computed, not measured: Zr2CoTe after structural relaxation at the GGA-PBEsol level of DFT.

Summary:
Final energy ... -7.643 eV/atom
Energy relative to the elements, uncorrected ... -0.2824 eV/atom
Magnetic moment ... 0.52 μB per formula unit
Volume ... 78.1 Å³ per cell

Cell: 3.612 3.612 5.983 Å, 90.00 90.00 90.00°
Each line ends with the local moment (μB).
Element x y z (fractional)
Co: 0.000 0.000 0.448  0.52
Te: 0.500 0.500 0.768  0.01
Zr: 0.000 0.000 0.994  0.03
Zr: 0.500 0.500 0.290  -0.04


# 8
Computed, not measured: Th7Co3 after structural relaxation at the GGA-PBEsol level of DFT.

Summary:
Final energy ... -8.244 eV/atom
Magnetic moment ... 0.00 μB per formula unit
Volume ... 484.8 Å³ per cell

Cell: 6.076 9.599 9.599 Å, 120.00 90.00 90.00°
Element x y z (fractional)
Th: 0.449 0.333 0.667
Th: 0.949 0.667 0.333
Th: 0.254 0.126 0.874
Th: 0.754 0.874 0.748
Th: 0.754 0.252 0.126
Th: 0.254 0.748 0.874
Th: 0.254 0.126 0.252
Th: 0.754 0.874 0.126
Th: 0.452 0.544 0.456
Th: 0.952 0.456 0.912
Th: 0.952 0.088 0.544
Th: 0.452 0.912 0.456
Th: 0.452 0.544 0.088
Th: 0.952 0.456 0.544
Co: 0.201 0.815 0.185
Co: 0.701 0.185 0.370
Co: 0.701 0.630 0.815
Co: 0.201 0.370 0.185
Co: 0.201 0.815 0.630
Co: 0.701 0.185 0.815


> Among the records above, which one has the highest volume?

Th7Co3